## SbAsBr4 (GGA-PBE)

Data for crystalline SbAsBr4 at its relaxed geometry.

Calculated values
Its raw formation energy is 0.885 eV/atom. The density comes out at 5222 kg/m³. The value obtained for the density of states at the Fermi level is 1.18 states/eV per atom. The value obtained for the uncorrected energy is -1.69 eV per atom.

abc: 6.1463 6.1463 6.1463
angles: 60.00 60.00 60.00
Element x y z (fractional)
Br (0.3749, 0.3749, 0.8753)
Br (0.3749, 0.8753, 0.3749)
As (0.0000, 0.0000, 0.0000)
Br (0.3749, 0.3749, 0.3749)
Br (0.8753, 0.3749, 0.3749)
Sb (0.7500, 0.7500, 0.7500)